Material: ScTe3N
Method: DFT, PBE
State: relaxed

Properties
Formation energy (no corrections) (meV per atom): 205
Uncorrected energy (Ry per atom): -0.3390
Space group: No. 221
Energy relative to the lowest polymorph listed for this composition (eV per atom): 0.0000

Geometry as POSCAR:
```
ScTe3N
1.0
4.788 0.000 0.000
0.000 4.788 0.000
0.000 0.000 4.788
Sc Te N
1 3 1
Cartesian
2.394 2.394 2.394
0.000 2.394 0.000
0.000 0.000 2.394
2.394 0.000 0.000
0.000 0.000 0.000
```

Material: K2InAu
Method: DFT, PBE
State: relaxed

Properties
Uncorrected energy (Ry per atom): -0.1525
Space group: No. 139

Geometry as POSCAR:
```
K2InAu
1.0
6.345 -0.005 0.000
2.482 5.839 0.000
-4.413 -2.917 3.502
Au In K
1 1 2
Cartesian
1.241 2.919 1.751
3.172 -0.002 1.751
0.000 0.000 0.000
4.413 2.917 0.000
```

Material: V3CoC
Method: DFT, PBE
State: relaxed

Properties
Uncorrected energy (Ry per atom): -0.6502
Space group: No. 221
Energy relative to the lowest polymorph listed for this composition (eV per atom): 0.1309

Geometry as POSCAR:
```
V3CoC
1.0
-3.728 -0.653 0.985
1.130 -1.015 3.604
-0.346 3.720 1.156
C Co V
1 1 3
Cartesian
0.000 0.000 0.000
-1.472 1.026 2.872
0.565 -0.508 1.802
-0.173 1.860 0.578
-1.864 -0.326 0.492
```

- Look up the uncorrected energy of the second one.
  -0.1525 Ry per atom